Entry 1:
A plane-wave DFT calculation with GGA-PBE was carried out for an optimized crystal structure of K2NaRuCl8.

Computed properties:
Its spin magnetization is 3.02 μB per cell. For the uncorrected formation energy, the calculation gives -1.1181 eV/atom. Its space group is P-1.

abc: 6.764 6.767 8.738
angles: 77.50 74.60 69.93
Sites, in units of the cell vectors:
K  0.101  0.111  0.211
K  0.899  0.889  0.789
Na  0.500  0.500  0.500
Ru  0.500  0.500  0.000
Cl  0.230  0.542  0.234
Cl  0.276  0.426  0.870
Cl  0.289  0.911  0.509
Cl  0.369  0.859  0.907
Cl  0.631  0.141  0.093
Cl  0.711  0.089  0.491
Cl  0.724  0.574  0.130
Cl  0.770  0.458  0.766

Entry 2:
A plane-wave DFT calculation with GGA-PBE was carried out for an optimized crystal structure of GeSbTe2Pb.

Computed properties:
Its spin magnetization is 0.00 μB per cell. For the uncorrected formation energy, the calculation gives 0.3205 eV/atom. Its space group is P4/mmm. The value obtained for the energy above the most stable polymorph in this dataset is 0 meV per atom.

abc: 5.444 5.444 5.416
angles: 90.00 90.00 90.00
Sites, in units of the cell vectors:
Ge  0.000  0.000  0.000
Sb  0.000  0.000  0.500
Te  0.000  0.500  0.000
Te  0.500  0.000  0.000
Pb  0.500  0.500  0.500